(1)
Entry from the Alexandria database: crystalline LiBe2Fe at its relaxed geometry (PBE-GGA).

Results
Its formation energy is 0.12 eV per atom. The density of states at the Fermi level comes out at 2.0 states/eV/f.u. The total magnetic moment is 2.1 μB per formula unit.

a = 2.492 Å, b = 2.492 Å, c = 6.615 Å
α = 90.00°, β = 90.00°, γ = 90.00°
Space group P4mm (No. 99)
Unique sites:
1 Li 0.000 0.000 0.000 (multiplicity 1)
2 Be 0.000 0.000 0.466 (multiplicity 1)
3 Be 0.500 0.500 0.278 (multiplicity 1)
4 Fe 0.500 0.500 0.690 (multiplicity 1)

***

(2)
Entry from the Alexandria database: crystalline Er2Ga3Ni5 at its relaxed geometry (PBE-GGA).

Results
Its formation energy is -0.48 eV per atom. The energy above the most stable polymorph in this dataset is 0.16 kcal/mol of atoms. The density of states at the Fermi level comes out at 6.5 states/eV/f.u. The total magnetic moment is 0.0 μB per formula unit.

a = 3.995 Å, b = 23.141 Å, c = 6.647 Å
α = 90.00°, β = 90.00°, γ = 90.00°
Space group Cmc2_1 (No. 36)
Unique sites:
1 Er 0.000 0.017 0.000 (multiplicity 4)
2 Er 0.000 0.326 0.937 (multiplicity 4)
3 Ga 0.000 0.127 0.780 (multiplicity 4)
4 Ga 0.000 0.278 0.371 (multiplicity 4)
5 Ga 0.000 0.448 0.807 (multiplicity 4)
6 Ni 0.000 0.107 0.253 (multiplicity 4)
7 Ni 0.000 0.201 0.089 (multiplicity 4)
8 Ni 0.000 0.229 0.681 (multiplicity 4)
9 Ni 0.000 0.377 0.522 (multiplicity 4)
10 Ni 0.000 0.443 0.201 (multiplicity 4)